Entry 1:
Computed, not measured: a relaxed structure of LaZn5Pd7 at the PBE-GGA level of DFT.

Cell and atoms, written as POSCAR:
```
LaZn5Pd7
1.0
-2.658 4.462 4.439
2.658 -4.462 4.439
2.658 4.462 -4.439
La Zn Pd
1 5 7
direct
0.000 0.000 0.000 La
0.490 0.495 0.502 Zn
0.490 0.989 0.995 Zn
0.762 0.262 0.500 Zn
0.993 0.495 0.005 Zn
0.993 0.989 0.498 Zn
0.198 0.486 0.712 Pd
0.219 0.719 0.500 Pd
0.338 0.338 0.000 Pd
0.340 0.997 0.343 Pd
0.651 0.651 0.000 Pd
0.653 0.997 0.657 Pd
0.774 0.486 0.288 Pd
```

Values from the calculation:
ΔH_f (0 K): -557 meV/atom
DOS(E_F): 4.2 states/eV/f.u.
Symmetry: No. 44
Crystal system: orthorhombic


Entry 2:
Computed, not measured: a relaxed structure of LaZnPd at the PBE-GGA level of DFT.

Cell and atoms, written as POSCAR:
```
LaZnPd
1.0
5.180 -2.147 0.000
5.180 2.147 0.000
-4.315 0.000 6.019
La Zn Pd
2 2 2
direct
0.052 0.052 0.299 La
0.948 0.948 0.701 La
0.323 0.323 0.915 Zn
0.677 0.677 0.085 Zn
0.340 0.340 0.307 Pd
0.660 0.660 0.693 Pd
```

Values from the calculation:
ΔH_f (0 K): -674 meV/atom
DOS(E_F): 2.0 states/eV/f.u.
Symmetry: No. 12
Crystal system: monoclinic


Entry 3:
Computed, not measured: a relaxed structure of La3Zn2Pd4 at the PBE-GGA level of DFT.

Cell and atoms, written as POSCAR:
```
La3Zn2Pd4
1.0
5.721 -2.176 0.000
5.721 2.176 0.000
-3.659 0.000 8.116
La Zn Pd
3 2 4
direct
0.000 0.000 0.000 La
0.356 0.356 0.310 La
0.644 0.644 0.690 La
0.345 0.345 0.675 Zn
0.655 0.655 0.325 Zn
0.081 0.081 0.412 Pd
0.291 0.291 0.932 Pd
0.709 0.709 0.068 Pd
0.919 0.919 0.588 Pd
```

Values from the calculation:
ΔH_f (0 K): -749 meV/atom
DOS(E_F): 5.4 states/eV/f.u.
Symmetry: No. 12
Crystal system: monoclinic
Energy above the lowest structure with this stoichiometry: 0.000 eV per atom


Entry 4:
Computed, not measured: a relaxed structure of La2Zn3Pd2 at the PBE-GGA level of DFT.

Cell and atoms, written as POSCAR:
```
La2Zn3Pd2
1.0
5.126 -2.140 0.000
5.126 2.140 0.000
-2.958 0.000 6.748
La Zn Pd
2 3 2
direct
0.142 0.142 0.261 La
0.858 0.858 0.739 La
0.367 0.367 0.064 Zn
0.500 0.500 0.500 Zn
0.633 0.633 0.936 Zn
0.134 0.134 0.705 Pd
0.866 0.866 0.295 Pd
```

Values from the calculation:
ΔH_f (0 K): -618 meV/atom
DOS(E_F): 4.1 states/eV/f.u.
Symmetry: No. 12
Crystal system: monoclinic


Among the records above, which one has the lowest DOS(E_F)?
LaZnPd


DOS(E_F) of number 3 (La3Zn2Pd4)?
5.4 states/eV/f.u.